Record 1
## NiMo2As (PBE)

Data for a relaxed structure of NiMo2As. Values from VASP.

## Properties
calculated density	9.120	g/cm³
M_tot	0.0	Bohr magnetons per cell

Structure (Quantum ESPRESSO input):
```
&SYSTEM
  ibrav = 0, nat = 4, ntyp = 3
/
ATOMIC_SPECIES
Mo 95.94 Mo.upf
Ni 58.69 Ni.upf
As 74.92 As.upf
CELL_PARAMETERS angstrom
8.5274 -1.4197 0.0093
8.5274 1.4197 0.0093
8.2884 0.0000 2.4566
ATOMIC_POSITIONS angstrom
Mo 6.3009 0.0000 0.6154
Mo 19.0424 0.0000 1.8598
Ni 12.6716 0.0000 1.2376
As 0.0000 0.0000 0.0000
```



Record 2
## Ni2MoAs (PBE)

Data for a relaxed structure of Ni2MoAs. Values from VASP.

## Properties
calculated density	9.004	g/cm³
M_tot	0.0	Bohr magnetons per cell

Structure (Quantum ESPRESSO input):
```
&SYSTEM
  ibrav = 0, nat = 4, ntyp = 3
/
ATOMIC_SPECIES
Ni 58.69 Ni.upf
As 74.92 As.upf
Mo 95.94 Mo.upf
CELL_PARAMETERS angstrom
-1.1645 0.1068 -2.4857
-1.9259 -3.0896 2.2916
-2.6512 3.7714 1.4020
ATOMIC_POSITIONS angstrom
Ni -2.9270 2.0540 -0.4289
Ni -4.2191 1.3749 1.6677
As -0.8239 -0.0596 0.0122
Mo -3.5326 -0.3704 -0.2447
```



Record 3
## NiMo2As (PBE)

Data for a relaxed structure of NiMo2As. Values from VASP.

## Properties
calculated density	9.396	g/cm³
M_tot	0.0	Bohr magnetons per cell

Structure (Quantum ESPRESSO input):
```
&SYSTEM
  ibrav = 0, nat = 4, ntyp = 3
/
ATOMIC_SPECIES
As 74.92 As.upf
Mo 95.94 Mo.upf
Ni 58.69 Ni.upf
CELL_PARAMETERS angstrom
4.0171 0.0000 0.0000
0.0000 2.9329 0.0149
0.0000 1.2889 4.8892
ATOMIC_POSITIONS angstrom
As 2.0086 2.6421 3.6467
Mo 2.0086 1.1467 1.3381
Mo 0.0000 4.1497 4.8097
Ni 0.0000 2.6161 2.4658
```



Record 4
## NiMoAs (PBE)

Data for a relaxed structure of NiMoAs. Values from VASP.

## Properties
calculated density	8.796	g/cm³
M_tot	0.0	Bohr magnetons per cell

Structure (Quantum ESPRESSO input):
```
&SYSTEM
  ibrav = 0, nat = 3, ntyp = 3
/
ATOMIC_SPECIES
Mo 95.94 Mo.upf
As 74.92 As.upf
Ni 58.69 Ni.upf
CELL_PARAMETERS angstrom
-2.0072 -0.4021 -1.9936
1.0674 -2.2355 1.4240
-4.3591 0.6330 4.2613
ATOMIC_POSITIONS angstrom
Mo -2.4635 -0.7982 0.5935
As -4.2990 0.6243 4.2026
Ni -2.8955 -1.1978 3.1569
```



Record 5
## NiMo2As (PBE)

Data for a relaxed structure of NiMo2As. Values from VASP.

## Properties
calculated density	9.331	g/cm³
M_tot	0.0	Bohr magnetons per cell

Structure (Quantum ESPRESSO input):
```
&SYSTEM
  ibrav = 0, nat = 4, ntyp = 3
/
ATOMIC_SPECIES
Mo 95.94 Mo.upf
Ni 58.69 Ni.upf
As 74.92 As.upf
CELL_PARAMETERS angstrom
4.1764 0.0000 0.0000
0.0000 3.7242 0.0000
0.0000 0.0000 3.7242
ATOMIC_POSITIONS angstrom
Mo 0.0000 0.0000 0.0000
Mo 0.0000 1.8621 1.8621
Ni 2.0882 1.8621 0.0000
As 2.0882 0.0000 1.8621
```



Record 6
## Ni2MoAs (PBE)

Data for a relaxed structure of Ni2MoAs. Values from VASP.

## Properties
calculated density	9.128	g/cm³
M_tot	0.0	Bohr magnetons per cell

Structure (Quantum ESPRESSO input):
```
&SYSTEM
  ibrav = 0, nat = 4, ntyp = 3
/
ATOMIC_SPECIES
Mo 95.94 Mo.upf
As 74.92 As.upf
Ni 58.69 Ni.upf
CELL_PARAMETERS angstrom
3.2734 0.0000 0.0000
0.0000 3.9837 0.0000
0.0000 0.0000 4.0213
ATOMIC_POSITIONS angstrom
Mo 0.0000 1.9919 2.0106
As 1.6367 0.0000 2.0106
Ni 1.6367 1.9919 0.0000
Ni 0.0000 0.0000 0.0000
```



Record 7
## NiMoAs (PBE)

Data for a relaxed structure of NiMoAs. Values from VASP.

## Properties
calculated density	7.592	g/cm³
M_tot	0.3	Bohr magnetons per cell

Structure (Quantum ESPRESSO input):
```
&SYSTEM
  ibrav = 0, nat = 3, ntyp = 3
/
ATOMIC_SPECIES
Ni 58.69 Ni.upf
Mo 95.94 Mo.upf
As 74.92 As.upf
CELL_PARAMETERS angstrom
-0.5366 1.0630 3.9661
-3.3654 -1.2753 2.0483
0.3467 -2.8594 2.9751
ATOMIC_POSITIONS angstrom
Ni 0.0000 0.0000 0.0000
Mo -2.6665 -2.3037 6.7421
As -1.7776 -1.5358 4.4947
```



Record 8
## Ni2MoAs (PBE)

Data for a relaxed structure of Ni2MoAs. Values from VASP.

## Properties
calculated density	9.045	g/cm³
M_tot	0.0	Bohr magnetons per cell

Structure (Quantum ESPRESSO input):
```
&SYSTEM
  ibrav = 0, nat = 4, ntyp = 3
/
ATOMIC_SPECIES
As 74.92 As.upf
Mo 95.94 Mo.upf
Ni 58.69 Ni.upf
CELL_PARAMETERS angstrom
4.4706 -0.0164 -0.0008
1.1102 4.3305 0.0008
-2.6064 -2.3951 2.7307
ATOMIC_POSITIONS angstrom
As 2.8881 2.2327 0.0000
Mo 0.7489 2.1250 1.3657
Ni 2.1771 -0.2433 1.3649
Ni 5.5312 4.2759 0.0000
```



In the order shown, the computed DFT formation energy values come out to 0.286, 0.035, -0.008, 0.148, 0.143, -0.011, 0.262, 0.008 eV/atom.